1.
The following is a GGA-PBE calculation of a relaxed GaFe2HBr crystal, from the Alexandria database.

Values from the calculation:
VASP energy = -22.2 eV/cell

abc: 3.7524 3.7524 5.4369
angles: 90.00 90.00 90.00
Closest atoms and distances in Å follow each position.
Fractional coordinates of all 5 atoms:
Ga: 0.0000 0.0000 0.0000  4 Br 2.65
Fe: 0.0000 0.5000 0.5000  2 H 1.88
Fe: 0.5000 0.0000 0.5000  2 H 1.88
H: 0.5000 0.5000 0.5000  4 Fe 1.88
Br: 0.5000 0.5000 0.0000  4 Ga 2.65, 2 H 2.72

=====

2.
The following is a GGA-PBE calculation of a relaxed GaFeMo2Br crystal, from the Alexandria database.

Values from the calculation:
VASP energy = -24.7 eV/cell
ΔE_f (raw) = 2.029 eV per atom

abc: 4.7938 4.7938 5.0474
angles: 90.00 90.00 90.00
Closest atoms and distances in Å follow each position.
Fractional coordinates of all 5 atoms:
Ga: 0.0000 0.0000 0.0000  4 Mo 2.40, 2 Br 2.52
Fe: 0.5000 0.5000 0.5000  4 Br 3.39, 8 Mo 3.48
Mo: 0.0000 0.5000 0.0000  2 Ga 2.40
Mo: 0.5000 0.0000 0.0000  2 Ga 2.40
Br: 0.0000 0.0000 0.5000  2 Ga 2.52